(1)
VASP calculation (PBE) on a relaxed Pm2MgGe crystal.

Cell lengths 5.2541, 5.2541, 5.2541 Å; angles 60.00, 60.00, 59.99 degrees
Element x y z (fractional)
Ge: 0.7500 0.7500 0.7500
Mg: 0.2500 0.2500 0.2500
Pm: 0.5000 0.5000 0.5000
Pm: 0.0000 0.0000 0.0000

Computed properties:
D(E_F): 3.7 states/eV/cell
Energy relative to the elements: -0.376 eV/atom

=====

(2)
VASP calculation (PBE) on a relaxed PmMg4Ge2 crystal.

Cell lengths 4.2698, 8.4745, 8.4745 Å; angles 90.00, 90.00, 90.00 degrees
Element x y z (fractional)
Pm: 0.5000 0.0000 0.0000
Pm: 0.0000 0.5000 0.5000
Mg: 0.0000 0.0947 0.3414
Mg: 0.0000 0.9053 0.6586
Mg: 0.5000 0.1586 0.5947
Mg: 0.5000 0.8414 0.4053
Mg: 0.5000 0.4053 0.8414
Mg: 0.5000 0.5947 0.1586
Mg: 0.0000 0.3414 0.0947
Mg: 0.0000 0.6586 0.9053
Ge: 0.0000 0.1975 0.8025
Ge: 0.0000 0.8025 0.1975
Ge: 0.5000 0.6975 0.6975
Ge: 0.5000 0.3025 0.3025

Computed properties:
D(E_F): 4.2 states/eV/cell
Energy relative to the elements: -0.363 eV/atom

=====

(3)
VASP calculation (PBE) on a relaxed PmMgGe2 crystal.

Cell lengths 4.5167, 4.5167, 5.7206 Å; angles 66.75, 66.75, 60.00 degrees
Element x y z (fractional)
Ge: 0.7709 0.7709 0.6873
Ge: 0.2291 0.2291 0.3127
Mg: 0.5000 0.5000 0.5000
Pm: 0.0000 0.0000 0.0000

Computed properties:
D(E_F): 1.9 states/eV/cell
Energy relative to the elements: -0.419 eV/atom

=====

(4)
VASP calculation (PBE) on a relaxed Pm5Mg4Ge crystal.

Cell lengths 3.8766, 3.8766, 18.5692 Å; angles 90.00, 90.00, 90.00 degrees
Element x y z (fractional)
Pm: 0.5000 0.5000 0.0837
Pm: 0.5000 0.5000 0.2914
Pm: 0.5000 0.5000 0.5000
Pm: 0.5000 0.5000 0.7086
Pm: 0.5000 0.5000 0.9163
Mg: 0.0000 0.0000 0.1902
Mg: 0.0000 0.0000 0.3956
Mg: 0.0000 0.0000 0.6044
Mg: 0.0000 0.0000 0.8098
Ge: 0.0000 0.0000 0.0000

Computed properties:
D(E_F): 11.8 states/eV/cell
Energy relative to the elements: -0.219 eV/atom

=====

(5)
VASP calculation (PBE) on a relaxed PmMgGe crystal.

Cell lengths 4.2920, 4.2920, 7.6603 Å; angles 90.00, 90.00, 90.00 degrees
Last column: magnetic moment on the atom in μB.
Element x y z (fractional)
Pm: 0.0000 0.5000 0.8529  0.19
Pm: 0.5000 0.0000 0.1471  0.19
Mg: 0.5000 0.5000 0.5000  0.01
Mg: 0.0000 0.0000 0.5000  0.01
Ge: 0.0000 0.5000 0.2584  -0.01
Ge: 0.5000 0.0000 0.7416  -0.01

Computed properties:
D(E_F): 4.7 states/eV/cell
Offset from the most stable computed form: 71 meV per atom
Energy relative to the elements: -0.594 eV/atom

=====

(6)
VASP calculation (PBE) on a relaxed Pm12MgGe6 crystal.

Cell lengths 8.9764, 8.9764, 8.9764 Å; angles 109.47, 109.47, 109.47 degrees
Element x y z (fractional)
Pm: 0.2960 0.1083 0.8123
Pm: 0.2960 0.4838 0.1877
Pm: 0.7040 0.5162 0.8123
Pm: 0.7040 0.8917 0.1877
Pm: 0.1083 0.8123 0.2960
Pm: 0.4838 0.1877 0.2960
Pm: 0.5162 0.8123 0.7040
Pm: 0.8917 0.1877 0.7040
Pm: 0.8123 0.2960 0.1083
Pm: 0.1877 0.2960 0.4838
Pm: 0.8123 0.7040 0.5162
Pm: 0.1877 0.7040 0.8917
Mg: 0.0000 0.0000 0.0000
Ge: 0.3797 0.5000 0.8797
Ge: 0.6203 0.5000 0.1203
Ge: 0.5000 0.8797 0.3797
Ge: 0.5000 0.1203 0.6203
Ge: 0.8797 0.3797 0.5000
Ge: 0.1203 0.6203 0.5000

Computed properties:
D(E_F): 12.7 states/eV/cell
Energy relative to the elements: -0.515 eV/atom